# 1
! PBE LaNi2HgW, optimized geometry; values from VASP
&SYSTEM
  ibrav = 0, nat = 5, ntyp = 4
/
ATOMIC_SPECIES
Ni 58.69 Ni.upf
La 138.91 La.upf
W 183.84 W.upf
Hg 200.59 Hg.upf
CELL_PARAMETERS angstrom
-1.8343 0.7242 4.3474
-4.6990 0.2089 -2.0175
-0.4629 -4.7145 0.5900
ATOMIC_POSITIONS crystal
Ni 0.5000 0.0000 0.0000
Ni 0.0000 0.0000 0.5000
La 0.5000 0.5000 0.5000
W 0.0000 0.5000 0.0000
Hg 0.0000 0.0000 0.0000
! - SG: No. 123
! - ΔH_f (0 K): 1.2017 eV/atom
! - V: 116.6 Å³/f.u.
! - D(E_F): 6.757 states/eV per cell
! - Calculated total energy: -4.747 eV/atom



# 2
! PBE CuIr2Pt, optimized geometry; values from VASP
&SYSTEM
  ibrav = 0, nat = 4, ntyp = 3
/
ATOMIC_SPECIES
Ir 192.22 Ir.upf
Pt 195.08 Pt.upf
Cu 63.55 Cu.upf
CELL_PARAMETERS angstrom
-0.5120 4.5373 1.0650
-0.5435 3.1438 3.4358
4.5316 1.1460 0.7338
ATOMIC_POSITIONS crystal
Ir 0.7477 0.7477 0.7731
Ir 0.0031 0.0031 0.9826
Pt 0.4983 0.4983 0.4848
Cu 0.2509 0.2509 0.2596
! - SG: No. 8
! - ΔH_f (0 K): 0.0518 eV/atom
! - V: 57.5 Å³/f.u.
! - D(E_F): 4.760 states/eV per cell
! - Calculated total energy: -6.913 eV/atom
! - Offset from the most stable computed form: 47 meV per atom



# 3
! PBE BaTe2Se, optimized geometry; values from VASP
&SYSTEM
  ibrav = 0, nat = 4, ntyp = 3
/
ATOMIC_SPECIES
Te 127.60 Te.upf
Ba 137.33 Ba.upf
Se 78.96 Se.upf
CELL_PARAMETERS angstrom
-3.1670 -0.0619 4.6933
1.7197 -2.9179 4.5376
1.7511 2.7435 4.6334
ATOMIC_POSITIONS crystal
Te 0.0000 0.0000 0.0000
Te 0.2500 0.2500 0.2500
Ba 0.5000 0.5000 0.5000
Se 0.7500 0.7500 0.7500
! - SG: No. 216
! - E_form (uncorrected): -0.506 eV/atom
! - V: 128.4 Å³/f.u.
! - D(E_F): 5.828 states/eV per cell
! - Calculated total energy: -3.429 eV/atom



# 4
! PBE TmTiNiPd, optimized geometry; values from VASP
&SYSTEM
  ibrav = 0, nat = 4, ntyp = 4
/
ATOMIC_SPECIES
Tm 168.93 Tm.upf
Pd 106.42 Pd.upf
Ti 47.87 Ti.upf
Ni 58.69 Ni.upf
CELL_PARAMETERS angstrom
4.6058 0.0000 0.0000
2.3029 3.9887 0.0000
2.3029 1.3296 3.7606
ATOMIC_POSITIONS crystal
Tm 0.7500 0.7500 0.7500
Pd 0.0000 0.0000 0.0000
Ti 0.2500 0.2500 0.2500
Ni 0.5000 0.5000 0.5000
! - SG: No. 216
! - ΔH_f (0 K): -0.4428 eV/atom
! - V: 69.1 Å³/f.u.
! - D(E_F): 2.908 states/eV per cell
! - Calculated total energy: -6.278 eV/atom



# 5
! PBE TiPRh3, optimized geometry; values from VASP
&SYSTEM
  ibrav = 0, nat = 5, ntyp = 3
/
ATOMIC_SPECIES
Rh 102.91 Rh.upf
P 30.97 P.upf
Ti 47.87 Ti.upf
CELL_PARAMETERS angstrom
4.5240 0.0000 0.0000
0.0000 4.5240 0.0000
0.0000 0.0000 4.5240
ATOMIC_POSITIONS crystal
Rh 0.0000 0.5000 0.0000
Rh 0.0000 0.0000 0.5000
Rh 0.5000 0.0000 0.0000
P 0.5000 0.5000 0.5000
Ti 0.0000 0.0000 0.0000
! - SG: No. 221
! - ΔH_f (0 K): 0.8570 eV/atom
! - V: 92.6 Å³/f.u.
! - D(E_F): 3.575 states/eV per cell
! - Calculated total energy: -6.215 eV/atom
! - Offset from the most stable computed form: 958 meV per atom



# 6
! PBE Y2SiS, optimized geometry; values from VASP
&SYSTEM
  ibrav = 0, nat = 16, ntyp = 3
/
ATOMIC_SPECIES
S 32.06 S.upf
Y 88.91 Y.upf
Si 28.09 Si.upf
CELL_PARAMETERS angstrom
-0.5331 3.1779 4.7013
-1.2380 -4.6734 3.0187
11.0970 -1.4808 2.2592
ATOMIC_POSITIONS crystal
S 0.2497 0.5000 0.6250
S 0.7503 0.0000 0.1250
S 0.7503 0.5000 0.3750
S 0.2497 0.0000 0.8750
Y 0.2503 0.5000 0.3760
Y 0.2496 0.5000 0.8740
Y 0.7497 0.0000 0.8760
Y 0.7497 0.5000 0.6240
Y 0.2496 0.0000 0.6260
Y 0.2503 0.0000 0.1240
Y 0.7504 0.5000 0.1260
Y 0.7504 0.0000 0.3740
Si 0.7496 0.5000 0.8750
Si 0.2504 0.5000 0.1250
Si 0.7496 0.0000 0.6250
Si 0.2504 0.0000 0.3750
! - SG: No. 141
! - E_form (uncorrected): -1.430 eV/atom
! - V: 92.8 Å³/f.u.
! - D(E_F): 3.414 states/eV per cell
! - Calculated total energy: -7.049 eV/atom
! - Offset from the most stable computed form: 0 meV per atom



# 7
! PBE Tl4IrOs, optimized geometry; values from VASP
&SYSTEM
  ibrav = 0, nat = 6, ntyp = 3
/
ATOMIC_SPECIES
Tl 204.38 Tl.upf
Os 190.23 Os.upf
Ir 192.22 Ir.upf
CELL_PARAMETERS angstrom
-4.4292 -3.9813 -0.0524
-4.7367 0.7684 3.5277
-5.2723 1.4418 -2.3656
ATOMIC_POSITIONS crystal
Tl 0.3751 0.3751 0.3751
Tl 0.3751 0.3751 0.8748
Tl 0.8748 0.3751 0.3751
Tl 0.3751 0.8748 0.3751
Os 0.0000 0.0000 0.0000
Ir 0.7500 0.7500 0.7500
! - SG: No. 216
! - ΔH_f (0 K): 1.6262 eV/atom
! - V: 149.4 Å³/f.u.
! - D(E_F): 6.823 states/eV per cell
! - Calculated total energy: -3.300 eV/atom



# 8
! PBE CsScZn3, optimized geometry; values from VASP
&SYSTEM
  ibrav = 0, nat = 5, ntyp = 3
/
ATOMIC_SPECIES
Zn 65.41 Zn.upf
Cs 132.91 Cs.upf
Sc 44.96 Sc.upf
CELL_PARAMETERS angstrom
6.0836 0.0000 0.0000
0.0000 6.0836 0.0000
0.0000 0.0000 6.0836
ATOMIC_POSITIONS crystal
Zn 0.5000 0.0000 0.0000
Zn 0.0000 0.0000 0.5000
Zn 0.0000 0.5000 0.0000
Cs 0.0000 0.0000 0.0000
Sc 0.5000 0.5000 0.5000
! - SG: No. 221
! - ΔH_f (0 K): 1.2401 eV/atom
! - V: 225.1 Å³/f.u.
! - D(E_F): 8.873 states/eV per cell
! - Calculated total energy: -0.961 eV/atom
! - Offset from the most stable computed form: 838 meV per atom